20
Lattice="5.0145 0.0000 0.0000 0.0000 5.1779 0.0000 0.0000 0.0000 8.4234" Properties=species:S:1:pos:R:3 comment="LiFe2OsO6 PBE with a Hubbard U optimized geometry" e_tot_ev_per_atom=-6.78 pbc="T T T"
Li 0.0000 0.0000 0.0000
Li 2.5073 2.5890 4.2117
Fe 0.0000 2.5890 2.5270
Fe 0.0000 2.5890 5.8965
Fe 2.5073 0.0000 1.6848
Fe 2.5073 0.0000 6.7387
Os 0.0000 0.0000 4.2117
Os 2.5073 2.5890 0.0000
O 0.9279 1.7049 4.2117
O 1.1421 4.3180 2.8341
O 1.1421 4.3180 5.5893
O 1.3652 1.7290 1.3776
O 1.3652 1.7290 7.0458
O 1.5794 4.2939 0.0000
O 3.4351 0.8841 0.0000
O 3.6493 3.4489 1.3776
O 3.6493 3.4489 7.0458
O 3.8725 0.8599 2.8341
O 3.8725 0.8599 5.5893
O 4.0867 3.4731 4.2117


10
Lattice="2.5512 1.4729 4.5042 -2.5512 1.4729 4.5042 0.0000 -2.9459 4.5042" Properties=species:S:1:pos:R:3 comment="Li2FeOsO6 PBE with a Hubbard U optimized geometry" e_tot_ev_per_atom=-6.47 pbc="T T T"
Li 0.0000 0.0000 0.0000
Li 0.0000 0.0000 6.7400
Fe 0.0000 0.0000 9.6504
Os 0.0000 0.0000 2.8419
O -1.9140 0.0835 6.1868
O -0.6244 -1.5040 8.3781
O 0.8847 -1.6993 6.1868
O -0.9903 1.2927 8.3781
O 1.0293 1.6158 6.1868
O 1.6147 0.2113 8.3781


41
Lattice="8.4278 0.0000 0.0000 -4.1916 7.3265 0.0000 -0.0562 -4.8100 7.6421" Properties=species:S:1:pos:R:3 comment="Li7Fe4P6O24 PBE with a Hubbard U optimized geometry" e_tot_ev_per_atom=-6.72 pbc="T T T"
Li 0.0000 0.0000 0.0000
Li -3.9904 5.0041 3.1437
Li -2.6887 3.8802 5.4350
Li 0.2834 5.0876 1.5067
Li 1.2014 2.6045 5.4195
Li 3.9032 2.4831 1.4572
Li 5.9315 0.0138 3.7898
Fe -1.3815 2.5249 2.9902
Fe 2.7471 -0.0289 2.2758
Fe 2.7151 0.0313 6.9115
Fe 6.9945 -2.3236 5.9874
P -2.6458 4.6301 0.6716
P 0.3696 0.0142 4.5891
P 1.0674 2.4017 0.6791
P 4.0370 -2.0686 4.5536
P 5.7502 0.2828 0.7995
P 3.9459 2.1823 4.4890
O -0.9078 -0.9072 4.5676
O 0.3674 -2.7266 6.9161
O -1.5868 5.6613 1.1379
O 1.3017 -0.6495 3.5121
O 1.4013 0.9677 1.1815
O 0.0428 1.4763 4.2725
O 0.0993 3.1569 1.5913
O -1.2193 4.1755 4.2685
O 0.9976 -0.0745 5.9895
O 2.3658 3.2404 0.5074
O 4.2557 -1.1355 3.3026
O 4.2401 0.5967 0.9632
O 3.6356 -1.2255 5.7590
O 3.2442 1.7064 3.1933
O 1.7615 6.0732 0.6267
O 5.3934 -2.7796 4.8378
O 3.1889 1.6414 5.7224
O 6.2254 -3.8292 7.1654
O 4.4753 5.3946 0.2933
O 3.8550 3.7504 4.5597
O 6.5510 0.7431 2.0386
O 5.4489 1.8332 4.5203
O 5.4068 3.6819 1.8544
O 6.2897 -0.9459 7.1130


44
Lattice="6.9650 0.0000 0.0000 0.0000 8.1899 0.0000 -3.0204 0.0000 8.9936" Properties=species:S:1:pos:R:3 comment="LiFeP2O7 PBE with a Hubbard U optimized geometry" e_tot_ev_per_atom=-6.92 pbc="T T T"
Li 0.2128 0.8195 4.2208
Li -1.2974 3.2754 8.7177
Li 5.2420 4.9145 0.2760
Li 3.7318 7.3704 4.7728
Fe 0.0152 5.9035 4.5499
Fe 1.5254 6.3814 0.0531
Fe 2.4192 1.8085 8.9405
Fe 3.9294 2.2864 4.4437
P -2.1307 0.7512 7.1921
P -0.6205 3.3437 2.6953
P 2.1416 4.3247 2.6227
P 0.6314 7.9602 7.1196
P 3.3132 0.2297 1.8741
P 1.8030 3.8652 6.3709
P 4.5651 4.8462 6.2984
P 6.0753 7.4387 1.8015
O -2.6410 1.9329 8.0321
O -1.1308 2.1621 3.5353
O -0.9059 4.6997 3.3063
O -2.4161 7.5851 7.8031
O -1.9466 4.8688 7.7703
O -0.4365 7.4161 3.2734
O -0.5157 0.9459 7.1672
O 0.9945 3.1491 2.6703
O 0.5405 4.5978 5.9456
O 2.0507 7.6871 1.4488
O 2.2357 4.7400 1.1327
O 0.7255 7.5449 5.6295
O 1.7466 5.4719 3.5524
O 0.2364 6.8130 8.0492
O 3.7082 1.3769 0.9444
O 2.1980 2.7180 5.4412
O 3.2191 0.6450 3.3641
O 1.7089 3.4499 7.8610
O 1.8939 0.5028 7.5448
O 3.4041 3.5921 3.0480
O 2.9501 5.0408 6.3233
O 4.4603 7.2440 1.8265
O 4.3811 0.7738 5.7202
O 5.8913 3.3211 1.2234
O 6.3607 0.6048 1.1905
O 4.8505 3.4902 5.6873
O 5.0754 6.0278 5.4584
O 6.5856 6.2570 0.9616


22
Lattice="5.9524 0.0000 0.0000 -2.9722 6.6272 0.0000 -1.2665 -1.8726 7.0505" Properties=species:S:1:pos:R:3 comment="LiFeP2O7 PBE with a Hubbard U optimized geometry" e_tot_ev_per_atom=-6.90 pbc="T T T"
Li -0.1244 0.8397 1.0756
Li 1.8381 3.9149 5.9749
Fe 1.3501 -0.7549 4.8509
Fe 0.3636 5.5095 2.1996
P -1.5422 0.1876 5.0588
P -1.1189 2.9921 6.0082
P 2.8326 1.7624 1.0424
P 3.2559 4.5669 1.9917
O -1.4679 -0.7223 6.2442
O -1.9174 1.6930 5.4326
O -0.2282 0.2095 4.2466
O -2.1104 4.1287 5.5854
O -1.4782 4.9799 2.9162
O 0.1121 4.6679 0.4890
O 1.4897 1.6214 1.6694
O 0.2240 3.1331 5.3811
O 1.6016 0.0866 6.5615
O 3.1919 -0.2254 4.1343
O 3.8241 0.6259 1.4651
O 1.9419 4.5451 2.8039
O 3.6311 3.0615 1.6179
O 3.1816 5.4769 0.8063


5
Lattice="3.7836 0.0000 0.0000 0.0000 3.7836 0.0000 0.0000 0.0000 4.8737" Properties=species:S:1:pos:R:3 comment="LiFePO2 PBE with a Hubbard U optimized geometry" e_tot_ev_per_atom=-4.86 pbc="T T T"
Li 0.0000 0.0000 0.0000
Fe 1.8918 1.8918 2.4368
P 1.8918 1.8918 0.0000
O 0.0000 1.8918 2.4368
O 1.8918 0.0000 2.4368


26
Lattice="5.0230 0.0000 0.0000 0.0000 8.3834 0.0000 -1.0100 0.0000 7.3792" Properties=species:S:1:pos:R:3 comment="Li2FeP2O8 PBE with a Hubbard U optimized geometry" e_tot_ev_per_atom=-6.62 pbc="T T T"
Li 0.5592 0.0000 2.4561
Li 0.6419 2.9207 6.5440
Li 3.3711 7.1124 0.8352
Li 3.4538 4.1917 4.9232
Fe 0.5024 0.0464 5.4890
Fe 3.5106 4.2381 1.8902
P 0.9369 5.6593 0.0810
P 1.0612 2.8653 3.6314
P 2.9518 7.0570 3.7478
P 3.0761 1.4676 7.2982
O -0.1507 5.6631 1.1951
O -0.3611 3.4518 3.3787
O -0.4370 4.6012 6.4076
O 0.0001 7.0818 6.8578
O 0.8832 1.3368 3.8647
O 1.9582 3.1077 2.4036
O 1.6467 3.4569 4.9235
O 2.3321 5.3327 0.6722
O 1.6809 1.1409 6.7071
O 2.3663 7.6486 2.4558
O 2.0548 7.2994 4.9756
O 3.1298 5.5285 3.5145
O 4.0129 2.8901 0.5214
O 4.4500 0.4095 0.9717
O 4.3741 7.6435 4.0005
O 4.1637 1.4714 6.1842


22
Lattice="5.0535 0.0000 0.0000 0.1315 6.7001 0.0000 0.2211 3.0858 7.7740" Properties=species:S:1:pos:R:3 comment="LiFeP2O7 PBE with a Hubbard U optimized geometry" e_tot_ev_per_atom=-6.82 pbc="T T T"
Li 0.0000 0.0000 0.0000
Li 2.4156 6.6449 4.1892
Fe 2.1446 1.8230 2.0045
Fe 4.9119 7.2824 6.2380
P 2.2230 2.4338 5.4469
P 2.4573 5.1638 6.5656
P 4.5894 3.8896 1.6509
P 4.8532 6.5791 2.8896
O 0.4814 2.8165 2.1401
O 0.9046 8.9803 5.9647
O 1.2885 6.7720 2.5690
O 1.5509 6.2363 5.9329
O 1.6720 1.3954 0.0429
O 2.3681 1.9591 4.0149
O 2.4933 4.0222 5.4052
O 3.1441 3.4169 1.5822
O 3.3666 8.4935 6.4050
O 3.9054 5.6349 6.7047
O 3.9449 7.2394 1.8430
O 4.4445 6.9060 4.3271
O 4.5962 4.9953 2.8310
O 5.0555 4.6191 0.3697


13
Lattice="4.0730 -2.7044 0.0000 4.0730 2.7044 0.0000 -0.1336 0.0000 6.4055" Properties=species:S:1:pos:R:3 comment="LiFe2P2O8 PBE with a Hubbard U optimized geometry" e_tot_ev_per_atom=-6.94 pbc="T T T"
Li 0.0000 0.0000 0.0000
Fe 2.5805 0.0000 4.7705
Fe 2.6662 0.0000 1.7006
P 5.4762 0.0000 0.0790
P 7.9001 0.0000 3.1836
O 2.3716 1.4468 0.1328
O 0.5361 0.0000 4.5050
O 0.6797 0.0000 1.9372
O 2.9173 1.4282 3.1264
O 2.3716 -1.4468 0.1328
O 4.5651 0.0000 1.3081
O 4.5541 0.0000 5.1937
O 2.9173 -1.4282 3.1264


22
Lattice="6.3606 0.0000 0.0000 0.8786 6.3573 0.0000 2.6918 0.2493 6.3764" Properties=species:S:1:pos:R:3 comment="LiFeP2O7 PBE with a Hubbard U optimized geometry" e_tot_ev_per_atom=-6.94 pbc="T T T"
Li 2.2120 0.0884 2.1411
Li 7.7189 6.5182 4.2353
Fe 4.8156 2.4211 4.6030
Fe 5.1154 4.1855 1.7734
P 1.9154 3.9157 0.9147
P 4.5481 5.6843 4.6572
P 5.3828 0.9223 1.7191
P 8.0155 2.6909 5.4616
O 2.8801 2.7360 4.5576
O 3.2584 6.1808 4.0801
O 4.2558 5.2817 6.1775
O 2.1901 2.6008 0.1794
O 3.1248 4.4518 1.6861
O 4.7995 0.3857 4.7111
O 5.0938 4.3964 3.9411
O 4.8372 2.2102 2.4352
O 5.1314 6.2209 1.6653
O 6.8061 2.1548 4.6903
O 7.7408 4.0059 6.1969
O 5.6752 1.3249 0.1988
O 6.6725 0.4258 2.2963
O 7.0509 3.8706 1.8188


25
Lattice="-2.6736 6.3786 4.0193 2.6736 -6.3786 4.0193 2.6736 6.3786 -4.0193" Properties=species:S:1:pos:R:3 comment="LiFe4P4O16 PBE with a Hubbard U optimized geometry" e_tot_ev_per_atom=-7.00 pbc="T T T"
Li 0.0000 0.0000 0.0000
Fe 2.6736 -1.5603 1.4280
Fe 2.6736 1.5603 1.4280
Fe 2.6736 4.7136 1.4078
Fe 0.0000 1.6650 5.4271
P 0.0000 3.2232 0.2107
P 0.0000 0.0000 2.6963
P 0.0000 9.5340 0.2107
P 0.0000 6.3786 2.6416
O 2.6736 1.2639 -0.5244
O 2.6736 -4.4700 3.4025
O 1.2257 0.0000 1.6946
O 4.1214 0.0000 1.6946
O 2.6736 -1.9190 3.3551
O 2.6736 5.1115 -0.4826
O 1.2798 3.2204 1.1329
O 1.3938 -3.1582 5.1522
O 0.0000 1.2671 3.5367
O 2.6736 1.9190 3.3551
O 1.3176 6.3786 1.7574
O 1.3560 0.0000 5.7767
O 2.6736 4.4700 3.4025
O 0.0000 5.1147 3.4948
O 1.2798 9.5368 1.1329
O 1.3938 3.1582 5.1522


40
Lattice="5.9981 0.0000 0.0000 0.0866 9.6532 0.0000 0.0345 4.8211 8.3741" Properties=species:S:1:pos:R:3 comment="LiFe4P3O12 PBE with a Hubbard U optimized geometry" e_tot_ev_per_atom=-6.98 pbc="T T T"
Li 0.0000 0.0000 0.0000
Li 3.0344 4.7946 2.7640
Fe 0.1987 4.7709 2.8173
Fe 1.6271 6.8725 6.0094
Fe 1.6795 11.3536 7.7694
Fe 1.7030 10.6190 2.9930
Fe 3.2455 9.6047 0.0024
Fe 4.6486 8.5950 8.1880
Fe 4.6572 7.8734 3.4262
Fe 4.6980 12.3596 5.1678
P 1.6054 3.6663 5.7471
P 1.6514 7.8907 2.3089
P 1.6199 2.8146 0.3534
P 4.6275 5.9194 5.4558
P 4.6420 6.5082 0.5069
P 4.6074 1.9527 2.4512
O 0.4372 8.6944 2.8835
O 0.4289 7.7287 7.7577
O 0.4863 12.3981 6.1425
O 1.5927 4.1217 4.2927
O 1.6276 6.4017 2.6194
O 1.6135 3.8376 1.4777
O 1.6363 4.8919 6.7304
O 1.7180 8.1407 0.7551
O 1.6875 1.3446 0.9165
O 2.8589 8.6719 2.9433
O 2.8505 7.7820 7.7223
O 2.9111 12.4080 6.1271
O 3.4007 6.7959 5.0390
O 3.4581 10.5317 8.3043
O 3.4950 11.4765 3.4545
O 4.6205 7.9972 0.1840
O 4.6184 5.4636 6.9074
O 4.5923 0.9369 1.3200
O 4.6278 3.4244 1.8927
O 4.7052 6.2630 2.0602
O 4.7073 4.6924 4.4737
O 5.8195 6.8763 5.0888
O 5.8822 10.5476 8.2561
O 5.9203 11.4858 3.4254


13
Lattice="4.9682 0.0000 0.0000 -2.4841 4.3026 0.0000 0.0000 0.0000 7.1344" Properties=species:S:1:pos:R:3 comment="Li2FeP2O8 PBE with a Hubbard U optimized geometry" e_tot_ev_per_atom=-6.62 pbc="T T T"
Li 0.0000 2.8684 1.5536
Li 2.4841 1.4342 5.5807
Fe 0.0000 0.0000 3.5672
P 0.0000 2.8684 5.2524
P 2.4841 1.4342 1.8819
O -1.4682 2.9867 4.7557
O 0.6317 1.5377 4.7557
O 0.0000 2.8684 6.7884
O 1.6476 0.2218 2.3786
O 0.8365 4.0808 4.7557
O 2.4841 1.4342 0.3460
O 1.8524 2.7649 2.3786
O 3.9523 1.3159 2.3786


11
Lattice="3.2993 -4.1075 0.0000 3.2993 4.1075 0.0000 -1.0792 0.0000 4.4197" Properties=species:S:1:pos:R:3 comment="LiFeP2O7 PBE with a Hubbard U optimized geometry" e_tot_ev_per_atom=-6.94 pbc="T T T"
Li 0.0000 0.0000 0.0000
Fe 3.2993 -1.0246 0.0000
P 1.2942 1.7303 2.6073
P 4.2252 1.7303 1.8123
O 2.7597 2.2749 2.2098
O 1.3883 0.3748 3.2923
O 1.4264 -1.2625 0.8761
O 4.1312 0.3748 1.1273
O 1.6844 -2.5079 3.1436
O 4.0931 -1.2625 3.5436
O 3.8351 -2.5079 1.2761